Record 1
A plane-wave DFT calculation with PBE was carried out for crystalline ErTiNiPt at its relaxed geometry.

The calculation puts the total energy at -6.68 eV/atom. As for the total magnetization: 0.0 Bohr magnetons per cell.

The structure belongs to space group F-43m (No. 216); the cell edges are 6.528, 6.528 and 6.528 Å and the angles 90.00°, 90.00° and 90.00°. The inequivalent atoms are Er at (0.000, 0.000, 0.000), Ti at (0.000, 0.000, 0.500), Ni at (0.250, 0.250, 0.250) and Pt at (0.250, 0.250, 0.750).


Record 2
A plane-wave DFT calculation with PBE was carried out for crystalline Tl2RhAu at its relaxed geometry.

The calculation puts the total energy at -3.58 eV/atom. As for the total magnetization: 0.0 Bohr magnetons per cell.

The structure belongs to space group R3m (No. 160, hexagonal axes); the cell edges are 3.3371, 3.3371 and 27.3977 Å and the angles 90.00°, 90.00° and 120.00°. The inequivalent atoms are Tl at (0.0000, 0.0000, 0.0000), Tl at (0.0000, 0.0000, 0.2301), Rh at (0.0000, 0.0000, 0.4902) and Au at (0.0000, 0.0000, 0.7501).


Record 3
A plane-wave DFT calculation with PBE was carried out for crystalline Sm5Bi4I at its relaxed geometry.

The calculation puts the raw formation energy at -917 meV per atom. The calculation puts the total energy at -4.98 eV/atom. As for the total magnetization: 0.0 Bohr magnetons per cell.

The structure belongs to space group I4/m (No. 87); the cell edges are 10.200, 10.200 and 6.421 Å and the angles 90.00°, 90.00° and 90.00°. The inequivalent atoms are Sm at (0.000, 0.000, 0.000), Sm at (0.103, 0.686, 0.500), Bi at (0.105, 0.703, 0.000) and I at (0.000, 0.000, 0.500).


Record 4
A plane-wave DFT calculation with PBE was carried out for crystalline Sm3TlRu2 at its relaxed geometry.

The calculation puts the total energy at -6.12 eV/atom. As for the total magnetization: 0.0 Bohr magnetons per cell.

The structure belongs to space group P4/mmm (No. 123); the cell edges are 3.463, 3.463 and 11.987 Å and the angles 90.00°, 90.00° and 90.00°. The inequivalent atoms are Sm at (0.000, 0.000, 0.000), Sm at (0.000, 0.000, 0.289), Tl at (0.500, 0.500, 0.500) and Ru at (0.500, 0.500, 0.150).